[1]
Cd17Ag12 (SCAN, single point on PBEsol structure); SG = I-43m, No. 217; ΔH_f (0 K) = -0.004 eV/atom
1.0
8.916 0.000 0.000
-2.972 8.406 0.000
-2.972 -4.203 7.280
Ag Cd
12 17
Cartesian
5.370 -2.611 4.522 Ag
3.133 -3.402 5.892 Ag
3.133 6.804 0.000 Ag
-1.280 6.023 1.388 Ag
-1.280 -1.810 5.910 Ag
-4.252 1.820 5.892 Ag
-0.574 1.592 2.758 Ag
-4.252 4.193 4.522 Ag
5.370 5.222 0.000 Ag
1.692 2.393 1.370 Ag
1.692 -0.010 2.758 Ag
6.105 0.801 1.388 Ag
-2.652 3.621 2.239 Cd
0.320 4.332 3.024 Cd
1.005 -2.457 4.256 Cd
-0.986 -1.395 2.416 Cd
1.986 2.808 4.864 Cd
3.292 -0.582 5.040 Cd
4.298 -1.293 2.239 Cd
2.958 0.000 0.000 Cd
-0.986 2.789 0.000 Cd
4.298 2.586 0.000 Cd
-2.652 0.129 4.256 Cd
-1.646 2.910 5.040 Cd
0.320 0.453 5.263 Cd
0.000 0.000 0.000 Cd
1.005 4.914 0.000 Cd
3.977 1.746 3.024 Cd
3.292 4.656 2.016 Cd

***

[2]
Hg2IrPt (SCAN, single point on PBEsol structure); relative energy among the computed polymorphs = 0 meV per atom; SG = C2/m, No. 12; ΔH_f (0 K) = 0.436 eV/atom
1.0
-0.280 2.572 -1.238
-4.917 -0.823 -0.451
1.875 1.106 5.121
Hg Ir Pt
2 1 1
Cartesian
0.938 0.553 2.560 Hg
-1.661 1.427 1.716 Hg
-0.140 1.286 -0.619 Ir
-2.458 -0.411 -0.225 Pt

***

[3]
Sr2SeS (SCAN, single point on PBEsol structure); relative energy among the computed polymorphs = 333 meV per atom; SG = I-42d, No. 122; E_form (uncorrected) = -2.0537 eV per atom
1.0
6.794 0.000 0.000
0.000 6.794 0.000
-3.397 -3.397 6.586
Sr S Se
4 2 2
Cartesian
-1.698 -1.596 4.939 Sr
4.993 1.698 1.646 Sr
1.698 1.596 4.939 Sr
1.801 5.095 1.646 Sr
3.397 0.000 3.293 S
3.397 3.397 0.000 S
0.000 3.397 3.293 Se
0.000 0.000 0.000 Se

***

[4]
Y8Cd (SCAN, single point on PBEsol structure); SG = I4/mmm, No. 139; ΔH_f (0 K) = -0.009 eV/atom
1.0
4.876 0.000 0.000
2.438 7.349 0.000
2.438 0.000 7.349
Y Cd
8 1
Cartesian
2.438 2.443 4.906 Y
4.876 4.906 4.906 Y
4.876 0.000 4.958 Y
4.876 4.958 0.000 Y
2.438 2.391 0.000 Y
4.876 2.443 2.443 Y
2.438 0.000 2.391 Y
2.438 4.906 2.443 Y
0.000 0.000 0.000 Cd

***

[5]
BeInSn3 (SCAN, single point on PBEsol structure); SG = Pm-3m, No. 221; ΔH_f (0 K) = 1.208 eV/atom
1.0
5.498 0.000 0.000
0.000 5.498 0.000
0.000 0.000 5.498
Sn In Be
3 1 1
Cartesian
0.000 0.000 2.749 Sn
0.000 2.749 0.000 Sn
2.749 0.000 0.000 Sn
0.000 0.000 0.000 In
2.749 2.749 2.749 Be

***

[6]
InSe2IN (SCAN, single point on PBEsol structure); SG = P4/mmm, No. 123; E_form (uncorrected) = 1.0017 eV per atom
1.0
3.955 0.000 0.000
0.000 5.458 0.000
0.000 0.000 5.458
In Se N I
1 2 1 1
Cartesian
1.978 2.729 2.729 In
0.000 2.729 0.000 Se
0.000 0.000 2.729 Se
1.978 0.000 0.000 N
0.000 0.000 0.000 I

***

[7]
LaMg3N (SCAN, single point on PBEsol structure); SG = Pm-3m, No. 221; E_form (uncorrected) = 0.0468 eV per atom
1.0
-2.925 -1.536 -3.266
3.338 -2.751 -1.695
-1.374 -3.414 2.836
Mg N La
3 1 1
Cartesian
1.669 -1.376 -0.848 Mg
-0.687 -1.707 1.418 Mg
-1.462 -0.768 -1.633 Mg
0.000 0.000 0.000 N
-0.480 -3.850 -1.063 La

***

[8]
SiSe2BrCl (SCAN, single point on PBEsol structure); SG = P4/mmm, No. 123; E_form (uncorrected) = 1.0094 eV per atom
1.0
5.062 0.000 0.000
0.000 4.902 0.000
0.000 0.000 4.902
Se Si Br Cl
2 1 1 1
Cartesian
0.000 0.000 2.451 Se
0.000 2.451 0.000 Se
2.531 2.451 2.451 Si
2.531 0.000 0.000 Br
0.000 0.000 0.000 Cl

***

[9]
DyAl7Fe5 (SCAN, single point on PBEsol structure); SG = Imm2, No. 44; ΔH_f (0 K) = -0.444 eV/atom
1.0
4.952 0.000 0.000
2.476 6.035 0.008
2.476 -0.007 6.035
Fe Al Dy
5 7 1
Cartesian
3.700 3.030 0.011 Fe
1.252 0.004 3.030 Fe
1.252 3.030 0.011 Fe
3.700 0.004 3.030 Fe
7.428 4.613 4.625 Fe
4.952 4.745 1.237 Al
7.428 2.114 4.029 Al
7.428 4.024 2.124 Al
4.952 1.225 4.748 Al
4.952 2.045 2.050 Al
4.952 3.980 3.990 Al
2.476 1.363 1.366 Al
4.952 5.993 6.008 Dy

***

[10]
Zr2PW (SCAN, single point on PBEsol structure); SG = Cmmm, No. 65; ΔH_f (0 K) = -0.365 eV/atom
1.0
-2.238 1.374 -1.491
-1.225 -2.104 1.787
-0.638 5.455 5.985
Zr W P
2 1 1
Cartesian
-0.466 3.981 4.367 Zr
-0.172 1.475 1.618 Zr
-1.731 -0.365 0.148 W
-2.050 2.363 3.140 P

***

[11]
Sr2YIrO6 (SCAN, single point on PBEsol structure); SG = P2_1/c, No. 14; E_form (uncorrected) = -2.6290 eV per atom
1.0
-0.725 2.243 -5.242
3.193 -4.272 -2.269
-6.732 -4.474 -1.047
Sr Y O Ir
4 2 12 2
Cartesian
-1.581 -1.257 -0.387 Sr
-3.941 -4.203 -4.504 Sr
-2.683 -5.246 -8.172 Sr
-0.323 -2.301 -4.055 Sr
1.596 -2.136 -1.135 Y
-3.728 -1.115 -3.145 Y
-2.360 -2.740 -2.584 O
-1.904 -3.763 -5.975 O
0.389 -0.659 -2.240 O
-3.352 -5.337 -2.316 O
1.142 -3.973 -5.473 O
-5.406 -2.530 -3.086 O
-0.912 -1.166 -6.243 O
2.135 -3.065 -3.052 O
-3.480 -1.586 -5.285 O
-0.783 -4.917 -3.274 O
-4.653 -5.844 -6.319 O
-6.399 -3.439 -5.507 O
-0.362 1.122 -2.621 Ir
-1.770 -4.373 -1.658 Ir

***

[12]
Nb6SnGe (SCAN, single point on PBEsol structure); SG = Pm-3, No. 200; ΔH_f (0 K) = -0.298 eV/atom
1.0
5.201 0.000 0.000
0.000 5.201 0.000
0.000 0.000 5.201
Nb Ge Sn
6 1 1
Cartesian
2.600 3.866 0.000 Nb
0.000 2.600 3.866 Nb
2.600 1.335 0.000 Nb
3.866 0.000 2.600 Nb
1.335 0.000 2.600 Nb
0.000 2.600 1.335 Nb
2.600 2.600 2.600 Ge
0.000 0.000 0.000 Sn

***

no.,calculated volume (Å³ per cell)
1,545.58
2,68.44
3,303.99
4,263.39
5,166.21
6,117.84
7,100.26
8,121.61
9,180.34
10,70.46
11,271.52
12,140.67